BaZn4Si: relaxed, PBE.

POSCAR file:
```
BaZn4Si
1.0
5.301 -1.918 -0.181
3.581 1.209 4.186
1.655 -4.054 3.554
Zn Si Ba
4 1 1
direct
0.882 0.373 0.373
0.373 0.882 0.373
0.373 0.373 0.373
0.373 0.373 0.882
0.000 0.000 0.000
0.750 0.750 0.750
```

Computed properties:
The calculated total energy is -1.94 eV per atom. The value obtained for the formation energy without anion corrections is 0.13 eV per atom. As for the space-group type: No. 216. The volume comes out at 21.142 Å³/atom.

---

PuSbAu: relaxed, PBE.

POSCAR file:
```
PuSbAu
1.0
5.845 0.000 0.000
0.000 4.717 0.000
0.000 -2.358 5.562
Au Sb Pu
2 2 2
direct
0.750 0.558 0.115
0.250 0.442 0.885
0.250 0.805 0.610
0.750 0.195 0.390
0.250 0.115 0.230
0.750 0.885 0.770
```

Computed properties:
The calculated total energy is -7.60 eV per atom. The value obtained for the formation energy without anion corrections is -0.35 eV per atom. As for the space-group type: No. 63. The volume comes out at 25.559 Å³/atom.

---

Dy5Ho2Rh4: relaxed, PBE.

POSCAR file:
```
Dy5Ho2Rh4
1.0
3.569 0.000 0.000
0.000 6.721 -0.907
-1.785 -5.561 12.793
Rh Dy Ho
4 5 2
direct
0.667 0.819 0.335
0.973 0.643 0.946
0.027 0.357 0.054
0.333 0.181 0.665
0.767 0.812 0.535
0.233 0.188 0.465
0.134 0.444 0.268
0.866 0.556 0.732
0.500 0.000 0.000
0.086 0.825 0.173
0.914 0.175 0.827
```

Computed properties:
The calculated total energy is -6.05 eV per atom. The formation energy comes out at -0.454 eV/atom. As for the space-group type: No. 12. The volume comes out at 26.264 Å³/atom.

---

Ca2SiNi6B: relaxed, PBE.

POSCAR file:
```
Ca2SiNi6B
1.0
-4.194 3.445 0.642
-2.806 -4.151 3.952
-1.207 1.939 4.962
Ni Ca Si B
6 2 1 1
direct
0.688 0.166 0.073
0.239 0.167 0.072
0.312 0.834 0.927
0.761 0.833 0.928
0.239 0.166 0.522
0.761 0.834 0.478
0.217 0.651 0.566
0.783 0.349 0.434
0.500 0.500 0.000
0.000 0.000 0.000
```

Computed properties:
The calculated total energy is -5.44 eV per atom. The value obtained for the formation energy without anion corrections is -0.36 eV per atom. As for the space-group type: No. 12. The volume comes out at 14.333 Å³/atom.

---

The lowest calculated total energy belongs to which entry? PuSbAu

---

Which formula does entry 2 have? PuSbAu

---

volume of number 3 (Dy5Ho2Rh4)? 26.264 Å³/atom